[1]
This record from the Alexandria database describes crystalline BaGaTeIr2 at its relaxed geometry. The functional is PBE.

Results
The total moment comes out at 0.93 μB/f.u. The symmetry is No. 123. As for the energy relative to the elements, uncorrected: 0.521 eV per atom.

```
BaGaTeIr2
1.0
5.015 0.000 0.000
0.000 5.015 0.000
0.000 0.000 5.433
Ba Ga Te Ir
1 1 1 2
Cartesian
0.000 0.000 0.000
2.507 2.507 0.000
2.507 2.507 2.717
0.000 2.507 2.717
2.507 0.000 2.717
```


[2]
This record from the Alexandria database describes crystalline Pa2AlGe at its relaxed geometry. The functional is PBE.

Results
The total moment comes out at 0.10 μB/f.u. The symmetry is No. 123. As for the formation energy from the elements: -0.24 eV/atom.

```
Pa2AlGe
1.0
4.441 0.000 0.000
0.000 4.441 0.000
0.000 0.000 4.333
Pa Al Ge
2 1 1
Cartesian
0.000 2.221 0.000
2.221 0.000 0.000
0.000 0.000 2.167
2.221 2.221 2.167
```


[3]
This record from the Alexandria database describes crystalline Nd5Sm6In at its relaxed geometry. The functional is PBE.

Results
The total moment comes out at 0.00 μB/f.u. The symmetry is No. 71. As for the formation energy from the elements: -0.06 eV/atom.

```
Nd5Sm6In
1.0
-2.531 5.116 7.681
2.531 -5.116 7.681
2.531 5.116 -7.681
Nd Sm In
5 6 1
Cartesian
0.000 0.000 0.000
2.531 0.000 2.513
0.000 0.000 5.116
0.000 0.000 10.246
0.000 5.116 5.168
2.531 -2.498 5.165
2.531 2.628 0.000
0.000 2.618 2.516
2.531 2.498 5.165
0.000 2.489 7.681
0.000 7.615 2.516
0.000 5.116 0.000
```